# CoH (PBE-GGA, relaxed)
data_CoH
_chemical_formula_sum 'Co8 H8'
_cell_length_a 7.125
_cell_length_b 7.125
_cell_length_c 2.538
_cell_angle_alpha 90.00
_cell_angle_beta 90.00
_cell_angle_gamma 90.00
_symmetry_space_group_name_H-M 'I 4/m'
_symmetry_Int_Tables_number 87
_symmetry_space_group_name_Hall '-I 4'
loop_
_atom_site_label
_atom_site_type_symbol
_atom_site_fract_x
_atom_site_fract_y
_atom_site_fract_z
Co1 Co 0.128 0.338 0.000
H1 H 0.103 0.781 0.000
# crystal system	tetragonal
# spin magnetization	10.590	μB per cell
# energy	-5.088	eV per atom
# ρ	6.2	Mg/m³

=====

# CeHg6Pb2 (PBE-GGA, relaxed)
data_CeHg6Pb2
_chemical_formula_sum 'Ce2 Hg12 Pb4'
_cell_length_a 6.445
_cell_length_b 16.262
_cell_length_c 5.097
_cell_angle_alpha 90.00
_cell_angle_beta 113.37
_cell_angle_gamma 90.00
_symmetry_space_group_name_H-M 'C 1 2/m 1'
_symmetry_Int_Tables_number 12
loop_
_symmetry_equiv_pos_as_xyz
'x,y,z'
'-x,-y,-z'
'-x,y,-z'
'x,-y,z'
'x+1/2,y+1/2,z'
'-x+1/2,-y+1/2,-z'
'-x+1/2,y+1/2,-z'
'x+1/2,-y+1/2,z'
loop_
_atom_site_label
_atom_site_type_symbol
_atom_site_fract_x
_atom_site_fract_y
_atom_site_fract_z
Ce1 Ce 0.000 0.000 0.000
Hg1 Hg 0.137 0.500 0.318
Hg2 Hg 0.165 0.335 0.828
Pb1 Pb 0.000 0.158 0.500
# crystal system	monoclinic
# spin magnetization	2.358	μB per cell
# energy	-1.787	eV per atom
# energy of formation	-0.1021	eV per atom
# ρ	11.9	Mg/m³

=====

# Li3Ca4Tl (PBE-GGA, relaxed)
data_Li3Ca4Tl
_chemical_formula_sum 'Li3 Ca4 Tl1'
_cell_length_a 3.978
_cell_length_b 5.125
_cell_length_c 12.218
_cell_angle_alpha 90.00
_cell_angle_beta 90.00
_cell_angle_gamma 90.00
_symmetry_space_group_name_H-M 'P m m 2'
_symmetry_Int_Tables_number 25
loop_
_symmetry_equiv_pos_as_xyz
'x,y,z'
'-x,-y,z'
'-x,y,z'
'x,-y,z'
loop_
_atom_site_label
_atom_site_type_symbol
_atom_site_fract_x
_atom_site_fract_y
_atom_site_fract_z
Li1 Li 0.000 0.000 0.000
Li2 Li 0.000 0.500 0.137
Li3 Li 0.500 0.000 0.506
Ca1 Ca 0.000 0.000 0.715
Ca2 Ca 0.000 0.500 0.423
Ca3 Ca 0.500 0.000 0.224
Ca4 Ca 0.500 0.500 0.908
Tl1 Tl 0.500 0.500 0.638
# E above lowest polymorph	35	meV per atom
# crystal system	orthorhombic
# spin magnetization	0.000	μB per cell
# energy	-2.113	eV per atom
# energy of formation	-0.0984	eV per atom
# ρ	2.6	Mg/m³